# 1
TaTc2Rh2 (PBE-GGA, optimized geometry); E_form = 5 meV per atom; SG = P4/mbm
1.0
7.542 0.000 0.000
0.000 7.542 0.000
0.000 0.000 2.726
Ta Rh Tc
2 4 4
Cartesian
0.000 0.000 0.000 Ta
3.771 3.771 0.000 Ta
4.695 0.924 0.000 Rh
6.618 4.695 0.000 Rh
2.847 6.618 0.000 Rh
0.924 2.847 0.000 Rh
5.089 6.224 1.363 Tc
1.318 5.089 1.363 Tc
6.224 2.453 1.363 Tc
2.453 1.318 1.363 Tc

---

# 2
TaTcRh3 (PBE-GGA, optimized geometry); E_form = 1250 meV per atom; SG = Pm-3m
1.0
4.690 0.000 0.000
0.000 4.690 0.000
0.000 0.000 4.690
Ta Rh Tc
1 3 1
Cartesian
0.000 0.000 0.000 Ta
2.345 0.000 0.000 Rh
0.000 0.000 2.345 Rh
0.000 2.345 0.000 Rh
2.345 2.345 2.345 Tc

---

# 3
Ta2TcRh (PBE-GGA, optimized geometry); E_form = -224 meV per atom; SG = P2/m
1.0
4.264 0.000 0.000
0.000 2.798 -0.024
0.000 1.045 5.441
Ta Rh Tc
2 1 1
Cartesian
0.000 1.849 2.679 Ta
0.000 0.073 0.029 Ta
2.132 2.883 4.062 Rh
2.132 0.961 1.354 Tc

---

# 4
Ta4Tc3Rh (PBE-GGA, optimized geometry); E_form = -437 meV per atom; SG = Pmmm
1.0
3.226 0.000 0.000
0.000 4.492 0.000
0.000 0.000 8.957
Tc Ta Rh
3 4 1
Cartesian
1.613 0.000 6.751 Tc
1.613 2.246 4.478 Tc
1.613 0.000 2.206 Tc
0.000 0.000 4.478 Ta
0.000 0.000 0.000 Ta
0.000 2.246 2.276 Ta
0.000 2.246 6.680 Ta
1.613 2.246 0.000 Rh

---

# 5
TaTcRh (PBE-GGA, optimized geometry); E_form = -183 meV per atom; SG = Fmm2
1.0
-3.238 -1.147 -5.440
-2.926 -3.683 -4.390
-2.626 0.025 0.858
Tc Ta Rh
1 1 1
Cartesian
-4.947 -3.160 -6.153 Tc
-3.813 -1.604 -2.728 Ta
-2.656 -0.017 0.767 Rh

---

# 6
Ta2TcRh2 (PBE-GGA, optimized geometry); E_form = -148 meV per atom; SG = P4/mbm
1.0
7.401 0.000 0.000
0.000 7.401 0.000
0.000 0.000 2.983
Tc Rh Ta
2 4 4
Cartesian
3.701 3.701 0.000 Tc
0.000 0.000 0.000 Tc
4.656 0.955 0.000 Rh
6.446 4.656 0.000 Rh
0.955 2.745 0.000 Rh
2.745 6.446 0.000 Rh
6.123 2.422 1.491 Ta
2.422 1.278 1.491 Ta
4.979 6.123 1.491 Ta
1.278 4.979 1.491 Ta

---

Among the records above, which one has the lowest E_form? Ta4Tc3Rh

---

Repeat the fifth record exactly.
TaTcRh (PBE-GGA, optimized geometry); E_form = -183 meV per atom; SG = Fmm2
1.0
-3.238 -1.147 -5.440
-2.926 -3.683 -4.390
-2.626 0.025 0.858
Tc Ta Rh
1 1 1
Cartesian
-4.947 -3.160 -6.153 Tc
-3.813 -1.604 -2.728 Ta
-2.656 -0.017 0.767 Rh

---

Repeat the first record exactly.
TaTc2Rh2 (PBE-GGA, optimized geometry); E_form = 5 meV per atom; SG = P4/mbm
1.0
7.542 0.000 0.000
0.000 7.542 0.000
0.000 0.000 2.726
Ta Rh Tc
2 4 4
Cartesian
0.000 0.000 0.000 Ta
3.771 3.771 0.000 Ta
4.695 0.924 0.000 Rh
6.618 4.695 0.000 Rh
2.847 6.618 0.000 Rh
0.924 2.847 0.000 Rh
5.089 6.224 1.363 Tc
1.318 5.089 1.363 Tc
6.224 2.453 1.363 Tc
2.453 1.318 1.363 Tc

---

Which of these has the highest E_form? TaTcRh3